1.
The following is a DFT calculation (SCAN) of a PBEsol-optimized structure of Cd2BiW.

a = 4.9943 Å, b = 4.9943 Å, c = 4.9943 Å
α = 60.00°, β = 60.00°, γ = 60.00°
Element x y z (fractional)
1 Cd 0.2500 0.2500 0.2500
2 Cd 0.7500 0.7500 0.7500
3 Bi 0.0000 0.0000 0.0000
4 W 0.5000 0.5000 0.5000

## Properties
**Energy of formation from the pure elements**: 1.16 eV/atom
**SG**: No. 225
**Total moment**: 3.26 μB/f.u.


2.
The following is a DFT calculation (SCAN) of a PBEsol-optimized structure of CsRb2TmCl6.

a = 8.1378 Å, b = 8.1378 Å, c = 8.1378 Å
α = 60.00°, β = 60.00°, γ = 60.00°
Element x y z (fractional)
1 Cs 0.0000 0.0000 0.0000
2 Rb 0.2500 0.2500 0.2500
3 Rb 0.7500 0.7500 0.7500
4 Tm 0.5000 0.5000 0.5000
5 Cl 0.2770 0.2770 0.7230
6 Cl 0.2770 0.7230 0.2770
7 Cl 0.2770 0.7230 0.7230
8 Cl 0.7230 0.2770 0.2770
9 Cl 0.7230 0.2770 0.7230
10 Cl 0.7230 0.7230 0.2770

## Properties
**Formation energy from raw total energies**: -2284 meV per atom
**SG**: No. 225
**Total moment**: 0.00 μB/f.u.


3.
The following is a DFT calculation (SCAN) of a PBEsol-optimized structure of La2PW.

a = 8.2657 Å, b = 8.2657 Å, c = 8.2657 Å
α = 27.12°, β = 27.12°, γ = 27.12°
Element x y z (fractional)
1 La 0.2436 0.2436 0.2436
2 La 0.7564 0.7564 0.7564
3 P 0.5000 0.5000 0.5000
4 W 0.0000 0.0000 0.0000

## Properties
**Energy of formation from the pure elements**: 0.11 eV/atom
**SG**: No. 166
**Total moment**: 1.82 μB/f.u.


4.
The following is a DFT calculation (SCAN) of a PBEsol-optimized structure of Tl2CuI.

a = 5.4581 Å, b = 5.4581 Å, c = 5.4581 Å
α = 60.00°, β = 60.00°, γ = 60.00°
Element x y z (fractional)
1 Tl 0.2500 0.2500 0.2500
2 Tl 0.7500 0.7500 0.7500
3 Cu 0.0000 0.0000 0.0000
4 I 0.5000 0.5000 0.5000

## Properties
**Formation energy from raw total energies**: 279 meV per atom
**SG**: No. 225
**Total moment**: 0.00 μB/f.u.


5.
The following is a DFT calculation (SCAN) of a PBEsol-optimized structure of P2WO8.

a = 16.8280 Å, b = 5.1838 Å, c = 6.6660 Å
α = 90.00°, β = 90.00°, γ = 90.00°
Element x y z (fractional)
1 P 0.0773 0.2500 0.0920
2 P 0.1690 0.2500 0.7065
3 P 0.3310 0.7500 0.2065
4 P 0.4227 0.7500 0.5920
5 P 0.5773 0.2500 0.4080
6 P 0.6690 0.2500 0.7935
7 P 0.8310 0.7500 0.2935
8 P 0.9227 0.7500 0.9080
9 W 0.1286 0.7500 0.3762
10 W 0.3714 0.2500 0.8762
11 W 0.6286 0.7500 0.1238
12 W 0.8714 0.2500 0.6238
13 O 0.0084 0.7500 0.8716
14 O 0.0296 0.7500 0.4262
15 O 0.0975 0.2500 0.8583
16 O 0.1265 0.0145 0.1749
17 O 0.1265 0.4855 0.1749
18 O 0.1580 0.0104 0.5750
19 O 0.1580 0.4896 0.5750
20 O 0.2464 0.2500 0.8170
21 O 0.2536 0.7500 0.3170
22 O 0.3420 0.5104 0.0750
23 O 0.3420 0.9896 0.0750
24 O 0.3735 0.5145 0.6749
25 O 0.3735 0.9855 0.6749
26 O 0.4025 0.7500 0.3583
27 O 0.4704 0.2500 0.9262
28 O 0.4916 0.2500 0.3716
29 O 0.5084 0.7500 0.6284
30 O 0.5296 0.7500 0.0738
31 O 0.5975 0.2500 0.6417
32 O 0.6265 0.0145 0.3251
33 O 0.6265 0.4855 0.3251
34 O 0.6580 0.0104 0.9250
35 O 0.6580 0.4896 0.9250
36 O 0.7464 0.2500 0.6830
37 O 0.7536 0.7500 0.1830
38 O 0.8420 0.5104 0.4250
39 O 0.8420 0.9896 0.4250
40 O 0.8735 0.5145 0.8251
41 O 0.8735 0.9855 0.8251
42 O 0.9025 0.7500 0.1417
43 O 0.9704 0.2500 0.5738
44 O 0.9916 0.2500 0.1284

## Properties
**Formation energy from raw total energies**: -2272 meV per atom
**SG**: No. 62
**Total moment**: 0.00 μB/f.u.


6.
The following is a DFT calculation (SCAN) of a PBEsol-optimized structure of AgTeO3.

a = 5.9817 Å, b = 11.4770 Å, c = 8.9413 Å
α = 90.00°, β = 119.76°, γ = 90.00°
Element x y z (fractional)
1 Ag 0.0630 0.1713 0.2142
2 Ag 0.0630 0.3287 0.7142
3 Ag 0.1012 0.6448 0.0366
4 Ag 0.1012 0.8552 0.5366
5 Ag 0.8988 0.1448 0.4634
6 Ag 0.8988 0.3552 0.9634
7 Ag 0.9370 0.6713 0.2858
8 Ag 0.9370 0.8287 0.7858
9 Te 0.3984 0.1265 0.9981
10 Te 0.3984 0.3735 0.4981
11 Te 0.4229 0.5705 0.8140
12 Te 0.4229 0.9295 0.3140
13 Te 0.5771 0.0705 0.6860
14 Te 0.5771 0.4295 0.1860
15 Te 0.6016 0.6265 0.5019
16 Te 0.6016 0.8735 0.0019
17 O 0.0678 0.1866 0.9248
18 O 0.0678 0.3134 0.4248
19 O 0.2700 0.0298 0.4737
20 O 0.2700 0.4702 0.9737
21 O 0.2754 0.5413 0.4497
22 O 0.2754 0.9587 0.9497
23 O 0.3333 0.1410 0.7576
24 O 0.3333 0.3590 0.2576
25 O 0.4028 0.7321 0.9302
26 O 0.4028 0.7679 0.4302
27 O 0.4770 0.0975 0.2362
28 O 0.4770 0.4025 0.7362
29 O 0.5230 0.5975 0.2638
30 O 0.5230 0.9025 0.7638
31 O 0.5972 0.2321 0.5698
32 O 0.5972 0.2679 0.0698
33 O 0.6667 0.6410 0.7424
34 O 0.6667 0.8590 0.2424
35 O 0.7246 0.0413 0.0503
36 O 0.7246 0.4587 0.5503
37 O 0.7300 0.5298 0.0263
38 O 0.7300 0.9702 0.5263
39 O 0.9322 0.6866 0.5752
40 O 0.9322 0.8134 0.0752

## Properties
**Formation energy from raw total energies**: -813 meV per atom
**SG**: No. 14
**Total moment**: 0.00 μB/f.u.


7.
The following is a DFT calculation (SCAN) of a PBEsol-optimized structure of CaMoRu2.

a = 9.1329 Å, b = 9.1329 Å, c = 9.1329 Å
α = 18.08°, β = 18.08°, γ = 18.08°
Element x y z (fractional)
1 Ca 0.0000 0.0000 0.0000
2 Mo 0.5000 0.5000 0.5000
3 Ru 0.2425 0.2425 0.2425
4 Ru 0.7575 0.7575 0.7575

## Properties
**Energy of formation from the pure elements**: 0.46 eV/atom
**SG**: No. 166
**Total moment**: 0.00 μB/f.u.


8.
The following is a DFT calculation (SCAN) of a PBEsol-optimized structure of SbTe2MoP.

a = 5.0957 Å, b = 5.0957 Å, c = 5.1896 Å
α = 90.00°, β = 90.00°, γ = 90.00°
Element x y z (fractional)
1 Sb 0.0000 0.0000 0.0000
2 Te 0.0000 0.5000 0.5000
3 Te 0.5000 0.0000 0.5000
4 Mo 0.0000 0.0000 0.5000
5 P 0.5000 0.5000 0.0000

## Properties
**Formation energy from raw total energies**: 902 meV per atom
**SG**: No. 123
**Total moment**: 0.00 μB/f.u.


9.
The following is a DFT calculation (SCAN) of a PBEsol-optimized structure of Sc4CrAs.

a = 5.6318 Å, b = 5.6318 Å, c = 5.6318 Å
α = 60.00°, β = 60.00°, γ = 60.00°
Element x y z (fractional)
1 Sc 0.1245 0.1245 0.1245
2 Sc 0.1245 0.1245 0.6265
3 Sc 0.1245 0.6265 0.1245
4 Sc 0.6265 0.1245 0.1245
5 Cr 0.7500 0.7500 0.7500
6 As 0.5000 0.5000 0.5000

## Properties
**Energy of formation from the pure elements**: 0.36 eV/atom
**SG**: No. 216
**Total moment**: 5.05 μB/f.u.


10.
The following is a DFT calculation (SCAN) of a PBEsol-optimized structure of YReAu2.

a = 4.7173 Å, b = 4.7173 Å, c = 4.7173 Å
α = 60.00°, β = 60.00°, γ = 60.00°
Element x y z (fractional)
1 Y 0.0000 0.0000 0.0000
2 Re 0.5000 0.5000 0.5000
3 Au 0.2500 0.2500 0.2500
4 Au 0.7500 0.7500 0.7500

## Properties
**Energy of formation from the pure elements**: 0.06 eV/atom
**SG**: No. 225
**Total moment**: 1.38 μB/f.u.


11.
The following is a DFT calculation (SCAN) of a PBEsol-optimized structure of CsK3.

a = 8.2122 Å, b = 8.2122 Å, c = 8.2122 Å
α = 130.63°, β = 130.63°, γ = 72.41°
Element x y z (fractional)
1 Cs 0.0000 0.0000 0.0000
2 K 0.2500 0.7500 0.5000
3 K 0.5000 0.5000 0.0000
4 K 0.7500 0.2500 0.5000

## Properties
**Energy of formation from the pure elements**: 0.01 eV/atom
**SG**: No. 139
**Total moment**: 0.08 μB/f.u.


12.
The following is a DFT calculation (SCAN) of a PBEsol-optimized structure of ErMoO4F.

a = 5.1475 Å, b = 12.1561 Å, c = 6.5692 Å
α = 90.00°, β = 113.81°, γ = 90.00°
Element x y z (fractional)
1 Er 0.1398 0.0507 0.3001
2 Er 0.1398 0.4493 0.8001
3 Er 0.8602 0.5507 0.1999
4 Er 0.8602 0.9493 0.6999
5 Mo 0.4180 0.1428 0.8682
6 Mo 0.4180 0.3572 0.3682
7 Mo 0.5820 0.6428 0.6318
8 Mo 0.5820 0.8572 0.1318
9 O 0.1896 0.0649 0.9639
10 O 0.1896 0.4351 0.4639
11 O 0.2614 0.6526 0.4045
12 O 0.2614 0.8474 0.9045
13 O 0.3060 0.2220 0.2946
14 O 0.3060 0.2780 0.7946
15 O 0.4988 0.0690 0.6612
16 O 0.4988 0.4310 0.1612
17 O 0.5012 0.5690 0.8388
18 O 0.5012 0.9310 0.3388
19 O 0.6940 0.7220 0.2054
20 O 0.6940 0.7780 0.7054
21 O 0.7386 0.1526 0.0955
22 O 0.7386 0.3474 0.5955
23 O 0.8104 0.5649 0.5361
24 O 0.8104 0.9351 0.0361
25 F 0.0369 0.5991 0.9587
26 F 0.0369 0.9009 0.4587
27 F 0.9631 0.0991 0.5413
28 F 0.9631 0.4009 0.0413

## Properties
**Formation energy from raw total energies**: -3090 meV per atom
**SG**: No. 14
**Total moment**: 0.00 μB/f.u.